1.
# Zr6As2H GGA-PBE optimized geometry
# * crystal system: monoclinic
data_Zr6As2H
_chemical_formula_sum 'Zr12 As4 H2'
_cell_length_a 5.625
_cell_length_b 6.924
_cell_length_c 10.307
_cell_angle_alpha 90.00
_cell_angle_beta 122.82
_cell_angle_gamma 90.00
_symmetry_space_group_name_H-M 'P 1 21/c 1'
_symmetry_Int_Tables_number 14
loop_
_symmetry_equiv_pos_as_xyz
'x,y,z'
'-x,-y,-z'
'-x,y+1/2,-z+1/2'
'x,-y+1/2,z+1/2'
loop_
_atom_site_label
_atom_site_fract_x
_atom_site_fract_y
_atom_site_fract_z
Zr1 0.091 0.194 0.460
Zr2 0.326 0.692 0.459
Zr3 0.374 0.025 0.255
As1 0.157 0.105 0.750
H1 0.000 0.000 0.000

***

2.
# Te2PRhI GGA-PBE optimized geometry
# * crystal system: tetragonal
# * excess energy over the best structure of this formula in the dataset: 0 meV/atom
# * energy relative to the elements, uncorrected: 3.62 eV/f.u.
data_Te2PRhI
_chemical_formula_sum 'Te2 P1 Rh1 I1'
_cell_length_a 5.171
_cell_length_b 5.171
_cell_length_c 5.321
_cell_angle_alpha 90.00
_cell_angle_beta 90.00
_cell_angle_gamma 90.00
_symmetry_space_group_name_H-M 'P 4/m m m'
_symmetry_Int_Tables_number 123
_symmetry_space_group_name_Hall '-P 4 2'
loop_
_atom_site_label
_atom_site_fract_x
_atom_site_fract_y
_atom_site_fract_z
Te1 0.000 0.500 0.000
P1 0.000 0.000 0.500
Rh1 0.500 0.500 0.000
I1 0.500 0.500 0.500

***

3.
# CaMgFe2Hg GGA-PBE optimized geometry
# * crystal system: tetragonal
# * ΔE_f: 79.5 kJ/mol of atoms
data_CaMgFe2Hg
_chemical_formula_sum 'Ca1 Mg1 Fe2 Hg1'
_cell_length_a 4.768
_cell_length_b 4.768
_cell_length_c 5.099
_cell_angle_alpha 90.00
_cell_angle_beta 90.00
_cell_angle_gamma 90.00
_symmetry_space_group_name_H-M 'P 4/m m m'
_symmetry_Int_Tables_number 123
_symmetry_space_group_name_Hall '-P 4 2'
loop_
_atom_site_label
_atom_site_fract_x
_atom_site_fract_y
_atom_site_fract_z
Ca1 0.000 0.000 0.000
Mg1 0.500 0.500 0.500
Fe1 0.000 0.500 0.500
Hg1 0.500 0.500 0.000

***

4.
# AcTeAs2Pd4 GGA-PBE optimized geometry
# * crystal system: tetragonal
# * energy relative to the elements, uncorrected: -5.17 eV/f.u.
data_AcTeAs2Pd4
_chemical_formula_sum 'Ac1 Te1 As2 Pd4'
_cell_length_a 4.539
_cell_length_b 4.539
_cell_length_c 8.115
_cell_angle_alpha 90.00
_cell_angle_beta 90.00
_cell_angle_gamma 90.00
_symmetry_space_group_name_H-M 'P 4/m m m'
_symmetry_Int_Tables_number 123
_symmetry_space_group_name_Hall '-P 4 2'
loop_
_atom_site_label
_atom_site_fract_x
_atom_site_fract_y
_atom_site_fract_z
Ac1 0.000 0.000 0.000
Te1 0.000 0.000 0.500
As1 0.500 0.500 0.159
Pd1 0.000 0.500 0.304

***

no.,E (eV per atom)
1,-7.817
2,-3.395
3,-3.341
4,-5.312